# 1
Density functional theory data (PBE) for a geometry-optimized Nd2Er3In2 structure.

The structure in POSCAR format:
```
Nd2Er3In2
1.0
5.435 0.000 0.000
-2.718 4.704 -0.169
0.000 -2.839 8.213
Er In Nd
3 2 2
Direct
0.652 0.304 0.456 Er
0.348 0.696 0.544 Er
0.500 0.000 0.000 Er
0.782 0.565 0.847 In
0.218 0.435 0.153 In
0.077 0.155 0.732 Nd
0.923 0.845 0.268 Nd
```

## Properties
SG: R-3m
Formation energy: -1.84 eV/f.u.
DOS at the Fermi energy: 0.958 states/eV/atom
E_tot: -4.363 eV per atom

# 2
Density functional theory data (PBE) for a geometry-optimized NdErIn structure.

The structure in POSCAR format:
```
NdErIn
1.0
3.503 0.000 0.000
0.000 3.503 0.000
-1.752 -1.752 14.857
In Er Nd
2 2 2
Direct
0.135 0.135 0.269 In
0.865 0.865 0.731 In
0.293 0.293 0.585 Er
0.707 0.707 0.415 Er
0.439 0.439 0.877 Nd
0.561 0.561 0.123 Nd
```

## Properties
SG: I4/mmm
Formation energy: -0.69 eV/f.u.
DOS at the Fermi energy: 0.937 states/eV/atom
E_tot: -4.252 eV per atom

# 3
Density functional theory data (PBE) for a geometry-optimized Nd5ErIn5 structure.

The structure in POSCAR format:
```
Nd5ErIn5
1.0
-1.510 -4.669 3.132
9.123 1.872 1.778
-4.293 4.008 3.905
In Nd Er
5 5 1
Direct
0.838 0.675 0.059 In
0.162 0.325 0.384 In
0.500 0.000 0.000 In
0.838 0.675 0.616 In
0.162 0.325 0.941 In
0.689 0.378 0.190 Nd
0.639 0.278 0.641 Nd
0.000 0.000 0.500 Nd
0.311 0.622 0.810 Nd
0.361 0.722 0.359 Nd
0.000 0.000 0.000 Er
```

## Properties
SG: C2/m
Formation energy: -2.64 eV/f.u.
DOS at the Fermi energy: 1.081 states/eV/atom
E_tot: -4.067 eV per atom

# 4
Density functional theory data (PBE) for a geometry-optimized Nd9Er2In structure.

The structure in POSCAR format:
```
Nd9Er2In
1.0
5.068 0.000 0.000
0.000 5.068 0.000
0.000 0.000 15.452
Nd Er In
9 2 1
Direct
0.500 0.500 0.669 Nd
0.500 0.000 0.500 Nd
0.000 0.500 0.500 Nd
0.500 0.500 0.331 Nd
0.500 0.000 0.162 Nd
0.000 0.500 0.838 Nd
0.500 0.000 0.838 Nd
0.000 0.500 0.162 Nd
0.500 0.500 0.000 Nd
0.000 0.000 0.668 Er
0.000 0.000 0.332 Er
0.000 0.000 0.000 In
```

## Properties
SG: P4/mmm
Formation energy: -0.87 eV/f.u.
DOS at the Fermi energy: 1.256 states/eV/atom
E_tot: -4.637 eV per atom

# 5
Density functional theory data (PBE) for a geometry-optimized NdEr4In5 structure.

The structure in POSCAR format:
```
NdEr4In5
1.0
3.746 0.000 0.000
0.000 3.746 0.000
0.000 0.000 18.949
In Er Nd
5 4 1
Direct
0.500 0.500 0.305 In
0.500 0.500 0.500 In
0.500 0.500 0.891 In
0.500 0.500 0.695 In
0.500 0.500 0.109 In
0.000 0.000 0.794 Er
0.000 0.000 0.402 Er
0.000 0.000 0.598 Er
0.000 0.000 0.206 Er
0.000 0.000 0.000 Nd
```

## Properties
SG: P4/mmm
Formation energy: -4.53 eV/f.u.
DOS at the Fermi energy: 0.554 states/eV/atom
E_tot: -4.124 eV per atom

# 6
Density functional theory data (PBE) for a geometry-optimized Nd6ErIn structure.

The structure in POSCAR format:
```
Nd6ErIn
1.0
-4.788 0.981 1.191
-1.542 -2.960 -3.764
-0.068 -8.086 6.385
Nd In Er
6 1 1
Direct
0.000 0.500 0.244 Nd
0.500 0.500 0.000 Nd
0.000 0.500 0.756 Nd
0.500 0.500 0.500 Nd
0.500 0.000 0.244 Nd
0.500 0.000 0.756 Nd
0.000 0.000 0.000 In
0.000 0.000 0.500 Er
```

## Properties
SG: P4/mmm
Formation energy: -0.97 eV/f.u.
DOS at the Fermi energy: 1.110 states/eV/atom
E_tot: -4.610 eV per atom

# 7
Density functional theory data (PBE) for a geometry-optimized Nd5Er2In structure.

The structure in POSCAR format:
```
Nd5Er2In
1.0
-0.613 6.238 -4.324
-5.716 2.474 4.382
6.043 -2.283 2.555
Nd Er In
5 2 1
Direct
0.696 0.696 0.937 Nd
0.773 0.773 0.546 Nd
0.242 0.242 0.937 Nd
0.696 0.242 0.937 Nd
0.241 0.696 0.937 Nd
0.719 0.219 0.438 Er
0.219 0.719 0.438 Er
0.192 0.192 0.384 In
```

## Properties
SG: I4mm
Formation energy: -0.51 eV/f.u.
DOS at the Fermi energy: 1.169 states/eV/atom
E_tot: -4.527 eV per atom

# 8
Density functional theory data (PBE) for a geometry-optimized Nd3Er2In2 structure.

The structure in POSCAR format:
```
Nd3Er2In2
1.0
-4.505 0.804 -2.006
-1.444 -2.180 2.369
-3.928 9.614 6.453
In Nd Er
2 3 2
Direct
0.428 0.500 0.143 In
0.572 0.500 0.857 In
0.143 0.000 0.714 Nd
0.000 0.000 0.000 Nd
0.857 0.000 0.286 Nd
0.713 0.500 0.575 Er
0.287 0.500 0.425 Er
```

## Properties
SG: Cmmm
Formation energy: -1.14 eV/f.u.
DOS at the Fermi energy: 1.218 states/eV/atom
E_tot: -4.292 eV per atom

# 9
Density functional theory data (PBE) for a geometry-optimized Nd2ErIn3 structure.

The structure in POSCAR format:
```
Nd2ErIn3
1.0
-1.094 -3.924 3.569
0.468 -7.541 -4.040
7.420 -0.478 1.750
Nd In Er
4 6 2
Direct
0.000 0.000 0.000 Nd
0.000 0.000 0.500 Nd
0.336 0.328 0.500 Nd
0.664 0.672 0.500 Nd
0.830 0.340 0.240 In
0.830 0.340 0.760 In
0.170 0.660 0.240 In
0.499 0.000 0.240 In
0.501 0.000 0.760 In
0.170 0.660 0.760 In
0.333 0.334 0.000 Er
0.667 0.666 0.000 Er
```

## Properties
SG: Cmmm
Formation energy: -2.88 eV/f.u.
DOS at the Fermi energy: 0.460 states/eV/atom
E_tot: -4.198 eV per atom

# 10
Density functional theory data (PBE) for a geometry-optimized Nd3Er3In2 structure.

The structure in POSCAR format:
```
Nd3Er3In2
1.0
-3.097 -3.518 -1.328
3.753 -2.721 -1.546
0.758 -4.057 8.981
Nd Er In
3 3 2
Direct
0.000 0.500 0.500 Nd
0.500 0.000 0.500 Nd
0.000 0.500 0.000 Nd
0.500 0.500 0.753 Er
0.500 0.500 0.247 Er
0.500 0.000 0.000 Er
0.000 0.000 0.246 In
0.000 0.000 0.754 In
```

## Properties
SG: Pmmm
Formation energy: -2.10 eV/f.u.
DOS at the Fermi energy: 1.456 states/eV/atom
E_tot: -4.446 eV per atom

> Which of these has the highest E_tot?

Nd5ErIn5